No. 1
! Ti2VW6 | the Alexandria database | PBE | optimized geometry; values from VASP
! Total DFT energy (no corrections) = -11.007 eV per atom
! ΔE_f = 0.40 eV/atom
&SYSTEM
  ibrav = 0, nat = 9, ntyp = 3
/
ATOMIC_SPECIES
Ti 47.87 Ti.upf
V 50.94 V.upf
W 183.84 W.upf
ATOMIC_POSITIONS angstrom
Ti 0.909 0.000 2.659
Ti 11.040 0.000 2.762
V 0.000 0.000 0.000
W 3.488 0.000 1.820
W 3.178 0.000 4.626
W 6.140 0.000 1.366
W 5.809 0.000 4.055
W 8.771 0.000 0.795
W 8.461 0.000 3.601
CELL_PARAMETERS angstrom
6.411 -2.208 0.000
6.411 2.208 0.000
-0.873 0.000 5.421

***

No. 2
! Li3Hf2NpTe6 | the Alexandria database | PBE | optimized geometry; values from VASP
! Total DFT energy (no corrections) = -5.591 eV per atom
&SYSTEM
  ibrav = 0, nat = 12, ntyp = 4
/
ATOMIC_SPECIES
Li 6.94 Li.upf
Hf 178.49 Hf.upf
Np 237.00 Np.upf
Te 127.60 Te.upf
ATOMIC_POSITIONS angstrom
Li 0.000 0.000 0.000
Li 3.579 1.972 0.000
Li 3.579 -1.972 0.000
Hf 2.377 4.109 3.562
Hf 2.377 -4.109 3.562
Np 2.377 0.000 3.562
Te 1.119 2.182 1.763
Te -0.148 0.000 5.340
Te 1.119 -2.182 1.763
Te 3.635 2.182 5.362
Te 4.903 0.000 1.785
Te 3.635 -2.182 5.362
CELL_PARAMETERS angstrom
3.579 -6.211 0.000
3.579 6.211 0.000
-2.403 0.000 7.125

***

No. 3
! Y13Mg2 | the Alexandria database | PBE | optimized geometry; values from VASP
! Total DFT energy (no corrections) = -5.798 eV per atom
! ΔE_f = 0.02 eV/atom
&SYSTEM
  ibrav = 0, nat = 15, ntyp = 2
/
ATOMIC_SPECIES
Y 88.91 Y.upf
Mg 24.30 Mg.upf
ATOMIC_POSITIONS angstrom
Y 0.000 0.000 0.000
Y 2.656 6.669 6.070
Y 1.846 2.499 1.248
Y 3.757 10.058 4.683
Y 4.523 9.025 7.917
Y 3.652 4.854 3.177
Y 4.821 3.944 6.489
Y 4.800 8.064 1.664
Y 5.969 7.154 4.976
Y 5.098 2.983 0.236
Y 5.864 1.950 3.470
Y 7.775 9.509 6.905
Y 6.965 5.339 2.083
Mg 1.950 7.793 3.128
Mg 7.670 4.215 5.025
CELL_PARAMETERS angstrom
6.750 0.000 0.000
1.166 8.545 0.000
1.705 3.463 8.153

***

No. 4
! Tm12CoHg6 | the Alexandria database | PBE | optimized geometry; values from VASP
! Total DFT energy (no corrections) = -3.521 eV per atom
! ΔE_f = -0.23 eV/atom
&SYSTEM
  ibrav = 0, nat = 19, ntyp = 3
/
ATOMIC_SPECIES
Tm 168.93 Tm.upf
Co 58.93 Co.upf
Hg 200.59 Hg.upf
ATOMIC_POSITIONS angstrom
Tm -5.192 -1.509 7.211
Tm -1.289 -5.251 5.770
Tm -1.293 -1.568 4.937
Tm -3.903 3.742 5.770
Tm -0.711 1.903 4.937
Tm -2.004 0.336 8.043
Tm 2.004 -0.336 4.937
Tm 0.711 -1.903 8.043
Tm 3.903 -3.742 7.211
Tm 1.293 1.568 8.043
Tm 1.289 5.251 7.211
Tm 5.192 1.509 5.770
Co 0.000 0.000 6.490
Hg -3.654 0.618 5.468
Hg -2.362 -2.856 7.512
Hg 1.292 -3.473 5.468
Hg -1.292 3.473 7.512
Hg 2.362 2.856 5.469
Hg 3.654 -0.618 7.512
CELL_PARAMETERS angstrom
5.901 3.407 4.327
-5.901 3.407 4.327
0.000 -6.814 4.327

***

DOS(E_F), record by record: 1.023 1.190 1.739 0.931 states/eV/atom